1.
# MgTcSb2, optimized geometry, DFT PBE
# E_form (uncorrected) = 24.3 kJ per mole of atoms
# Volume = 80.2 Å³ per cell
# Offset from the most stable computed form = 261 meV per atom
# Mass density = 7.6 g/cm3
# Symmetry = P4/mmm, No. 123
data_MgTcSb2
_chemical_formula_sum 'Mg1 Tc1 Sb2'
_cell_length_a 4.760
_cell_length_b 4.760
_cell_length_c 3.539
_cell_angle_alpha 90.00
_cell_angle_beta 90.00
_cell_angle_gamma 90.00
_symmetry_space_group_name_H-M 'P 1'
_symmetry_Int_Tables_number 1
loop_
_symmetry_equiv_pos_as_xyz
'x,y,z'
loop_
_atom_site_label
_atom_site_fract_x
_atom_site_fract_y
_atom_site_fract_z
_atom_site_occupancy
Mg1 0.000 0.000 0.000 1
Tc1 0.500 0.500 0.000 1
Sb1 0.000 0.500 0.500 1
Sb2 0.500 0.000 0.500 1



2.
# YNi2Sb, optimized geometry, DFT PBE
# E_form (uncorrected) = -23.8 kJ per mole of atoms
# Volume = 72.6 Å³ per cell
# Mass density = 7.5 g/cm3
# Symmetry = P4/mmm, No. 123
data_YNi2Sb
_chemical_formula_sum 'Y1 Ni2 Sb1'
_cell_length_a 3.453
_cell_length_b 3.453
_cell_length_c 6.092
_cell_angle_alpha 90.00
_cell_angle_beta 90.00
_cell_angle_gamma 90.00
_symmetry_space_group_name_H-M 'P 1'
_symmetry_Int_Tables_number 1
loop_
_symmetry_equiv_pos_as_xyz
'x,y,z'
loop_
_atom_site_label
_atom_site_fract_x
_atom_site_fract_y
_atom_site_fract_z
_atom_site_occupancy
Y1 0.000 0.000 0.000 1
Ni1 0.500 0.500 0.271 1
Ni2 0.500 0.500 0.729 1
Sb1 0.000 0.000 0.500 1



3.
# SmNb2N4, optimized geometry, DFT PBE
# E_form (uncorrected) = -109.1 kJ per mole of atoms
# Volume = 172.1 Å³ per cell
# Mass density = 7.6 g/cm3
# Symmetry = Cmcm, No. 63
data_SmNb2N4
_chemical_formula_sum 'Sm2 Nb4 N8'
_cell_length_a 5.411
_cell_length_b 5.411
_cell_length_c 10.481
_cell_angle_alpha 90.00
_cell_angle_beta 90.00
_cell_angle_gamma 145.88
_symmetry_space_group_name_H-M 'P 1'
_symmetry_Int_Tables_number 1
loop_
_symmetry_equiv_pos_as_xyz
'x,y,z'
loop_
_atom_site_label
_atom_site_fract_x
_atom_site_fract_y
_atom_site_fract_z
_atom_site_occupancy
Sm1 0.116 0.884 0.750 1
Sm2 0.884 0.116 0.250 1
Nb1 0.371 0.629 0.566 1
Nb2 0.371 0.629 0.934 1
Nb3 0.629 0.371 0.066 1
Nb4 0.629 0.371 0.434 1
N1 0.000 0.000 0.000 1
N2 0.000 0.000 0.500 1
N3 0.267 0.733 0.112 1
N4 0.267 0.733 0.388 1
N5 0.437 0.563 0.750 1
N6 0.563 0.437 0.250 1
N7 0.733 0.267 0.612 1
N8 0.733 0.267 0.888 1



4.
# BaTaRh2, optimized geometry, DFT PBE
# Volume = 391.5 Å³ per cell
# Offset from the most stable computed form = 449 meV per atom
# Mass density = 8.9 g/cm3
# Symmetry = I-42d, No. 122
# ΔE_f = 0.213 eV per atom
data_BaTaRh2
_chemical_formula_sum 'Ba4 Ta4 Rh8'
_cell_length_a 7.535
_cell_length_b 7.535
_cell_length_c 6.895
_cell_angle_alpha 90.00
_cell_angle_beta 90.00
_cell_angle_gamma 90.00
_symmetry_space_group_name_H-M 'P 1'
_symmetry_Int_Tables_number 1
loop_
_symmetry_equiv_pos_as_xyz
'x,y,z'
loop_
_atom_site_label
_atom_site_fract_x
_atom_site_fract_y
_atom_site_fract_z
_atom_site_occupancy
Ba1 0.000 0.000 0.000 1
Ba2 0.000 0.500 0.250 1
Ba3 0.500 0.000 0.750 1
Ba4 0.500 0.500 0.500 1
Ta1 0.000 0.000 0.500 1
Ta2 0.000 0.500 0.750 1
Ta3 0.500 0.000 0.250 1
Ta4 0.500 0.500 0.000 1
Rh1 0.179 0.250 0.625 1
Rh2 0.250 0.679 0.875 1
Rh3 0.250 0.821 0.375 1
Rh4 0.321 0.250 0.125 1
Rh5 0.679 0.750 0.125 1
Rh6 0.750 0.179 0.375 1
Rh7 0.750 0.321 0.875 1
Rh8 0.821 0.750 0.625 1



5.
# BaZr2Al, optimized geometry, DFT PBE
# Volume = 102.6 Å³ per cell
# Mass density = 5.6 g/cm3
# Symmetry = Pmmm, No. 47
# ΔE_f = 0.406 eV per atom
data_BaZr2Al
_chemical_formula_sum 'Ba1 Zr2 Al1'
_cell_length_a 3.365
_cell_length_b 5.362
_cell_length_c 5.688
_cell_angle_alpha 90.00
_cell_angle_beta 90.00
_cell_angle_gamma 90.00
_symmetry_space_group_name_H-M 'P 1'
_symmetry_Int_Tables_number 1
loop_
_symmetry_equiv_pos_as_xyz
'x,y,z'
loop_
_atom_site_label
_atom_site_fract_x
_atom_site_fract_y
_atom_site_fract_z
_atom_site_occupancy
Ba1 0.000 0.000 0.000 1
Zr1 0.000 0.500 0.500 1
Zr2 0.500 0.500 0.000 1
Al1 0.500 0.000 0.500 1



6.
# TmPuTe6, optimized geometry, DFT PBE
# E_form (uncorrected) = -75.2 kJ per mole of atoms
# Volume = 501.9 Å³ per cell
# Mass density = 7.8 g/cm3
# Symmetry = Amm2, No. 38
data_TmPuTe6
_chemical_formula_sum 'Tm2 Pu2 Te12'
_cell_length_a 4.344
_cell_length_b 4.343
_cell_length_c 26.601
_cell_angle_alpha 90.00
_cell_angle_beta 90.00
_cell_angle_gamma 90.00
_symmetry_space_group_name_H-M 'P 1'
_symmetry_Int_Tables_number 1
loop_
_symmetry_equiv_pos_as_xyz
'x,y,z'
loop_
_atom_site_label
_atom_site_fract_x
_atom_site_fract_y
_atom_site_fract_z
_atom_site_occupancy
Tm1 0.000 0.000 0.000 1
Tm2 0.000 0.500 0.500 1
Pu1 0.500 0.000 0.656 1
Pu2 0.500 0.500 0.156 1
Te1 0.000 0.000 0.121 1
Te2 0.000 0.000 0.408 1
Te3 0.000 0.000 0.748 1
Te4 0.000 0.500 0.248 1
Te5 0.000 0.500 0.621 1
Te6 0.000 0.500 0.908 1
Te7 0.500 0.000 0.248 1
Te8 0.500 0.000 0.534 1
Te9 0.500 0.000 0.908 1
Te10 0.500 0.500 0.034 1
Te11 0.500 0.500 0.408 1
Te12 0.500 0.500 0.748 1



7.
# Ac2Ge, optimized geometry, DFT PBE
# Volume = 213.4 Å³ per cell
# Offset from the most stable computed form = 118 meV per atom
# Mass density = 8.2 g/cm3
# Symmetry = I4/mmm, No. 139
# ΔE_f = -0.347 eV per atom
data_Ac2Ge
_chemical_formula_sum 'Ac4 Ge2'
_cell_length_a 4.033
_cell_length_b 4.033
_cell_length_c 13.118
_cell_angle_alpha 90.00
_cell_angle_beta 90.00
_cell_angle_gamma 90.00
_symmetry_space_group_name_H-M 'P 1'
_symmetry_Int_Tables_number 1
loop_
_symmetry_equiv_pos_as_xyz
'x,y,z'
loop_
_atom_site_label
_atom_site_fract_x
_atom_site_fract_y
_atom_site_fract_z
_atom_site_occupancy
Ac1 0.000 0.000 0.130 1
Ac2 0.000 0.000 0.870 1
Ac3 0.500 0.500 0.370 1
Ac4 0.500 0.500 0.630 1
Ge1 0.000 0.000 0.500 1
Ge2 0.500 0.500 0.000 1



8.
# Y2CdNi12P3, optimized geometry, DFT PBE
# Volume = 249.6 Å³ per cell
# Mass density = 7.2 g/cm3
# Symmetry = R-3m, No. 166
# ΔE_f = -0.107 eV per atom
data_Y2CdNi12P3
_chemical_formula_sum 'Y2 Cd1 Ni12 P3'
_cell_length_a 6.312
_cell_length_b 6.312
_cell_length_c 6.312
_cell_angle_alpha 85.83
_cell_angle_beta 85.83
_cell_angle_gamma 85.83
_symmetry_space_group_name_H-M 'P 1'
_symmetry_Int_Tables_number 1
loop_
_symmetry_equiv_pos_as_xyz
'x,y,z'
loop_
_atom_site_label
_atom_site_fract_x
_atom_site_fract_y
_atom_site_fract_z
_atom_site_occupancy
Y1 0.159 0.159 0.159 1
Y2 0.841 0.841 0.841 1
Cd1 0.500 0.500 0.500 1
Ni1 0.119 0.119 0.606 1
Ni2 0.119 0.606 0.119 1
Ni3 0.183 0.682 0.682 1
Ni4 0.318 0.318 0.817 1
Ni5 0.318 0.817 0.318 1
Ni6 0.394 0.881 0.881 1
Ni7 0.606 0.119 0.119 1
Ni8 0.682 0.183 0.682 1
Ni9 0.682 0.682 0.183 1
Ni10 0.817 0.318 0.318 1
Ni11 0.881 0.394 0.881 1
Ni12 0.881 0.881 0.394 1
P1 0.000 0.500 0.500 1
P2 0.500 0.000 0.500 1
P3 0.500 0.500 0.000 1



9.
# Tb2Ho9Er, optimized geometry, DFT PBE
# Volume = 371.9 Å³ per cell
# Offset from the most stable computed form = 38 meV per atom
# Mass density = 8.8 g/cm3
# Symmetry = P6/mmm, No. 191
# ΔE_f = 0.059 eV per atom
data_Tb2Ho9Er
_chemical_formula_sum 'Tb2 Ho9 Er1'
_cell_length_a 11.124
_cell_length_b 11.124
_cell_length_c 3.470
_cell_angle_alpha 90.00
_cell_angle_beta 90.00
_cell_angle_gamma 120.00
_symmetry_space_group_name_H-M 'P 1'
_symmetry_Int_Tables_number 1
loop_
_symmetry_equiv_pos_as_xyz
'x,y,z'
loop_
_atom_site_label
_atom_site_fract_x
_atom_site_fract_y
_atom_site_fract_z
_atom_site_occupancy
Tb1 0.333 0.667 0.000 1
Tb2 0.667 0.333 0.000 1
Ho1 0.000 0.500 0.000 1
Ho2 0.175 0.351 0.500 1
Ho3 0.175 0.825 0.500 1
Ho4 0.351 0.175 0.500 1
Ho5 0.500 0.000 0.000 1
Ho6 0.500 0.500 0.000 1
Ho7 0.649 0.825 0.500 1
Ho8 0.825 0.175 0.500 1
Ho9 0.825 0.649 0.500 1
Er1 0.000 0.000 0.000 1



10.
# SrTaGa2, optimized geometry, DFT PBE
# Volume = 458.2 Å³ per cell
# Mass density = 5.9 g/cm3
# Symmetry = I-42d, No. 122
# ΔE_f = 0.453 eV per atom
data_SrTaGa2
_chemical_formula_sum 'Sr4 Ta4 Ga8'
_cell_length_a 5.055
_cell_length_b 5.055
_cell_length_c 17.932
_cell_angle_alpha 90.00
_cell_angle_beta 90.00
_cell_angle_gamma 90.00
_symmetry_space_group_name_H-M 'P 1'
_symmetry_Int_Tables_number 1
loop_
_symmetry_equiv_pos_as_xyz
'x,y,z'
loop_
_atom_site_label
_atom_site_fract_x
_atom_site_fract_y
_atom_site_fract_z
_atom_site_occupancy
Sr1 0.000 0.000 0.000 1
Sr2 0.000 0.500 0.250 1
Sr3 0.500 0.000 0.750 1
Sr4 0.500 0.500 0.500 1
Ta1 0.000 0.000 0.500 1
Ta2 0.000 0.500 0.750 1
Ta3 0.500 0.000 0.250 1
Ta4 0.500 0.500 0.000 1
Ga1 0.098 0.250 0.625 1
Ga2 0.250 0.598 0.875 1
Ga3 0.250 0.902 0.375 1
Ga4 0.402 0.250 0.125 1
Ga5 0.598 0.750 0.125 1
Ga6 0.750 0.098 0.375 1
Ga7 0.750 0.402 0.875 1
Ga8 0.902 0.750 0.625 1